w.
Crystalline PmBPt at its relaxed geometry. Source: OQMD, functional PBE.

The space group is F-43m (No. 216) and the conventional cell measures 6.039, 6.039 and 6.039 Å, with angles of 90.00, 90.00 and 90.00 degrees. The inequivalent atoms are Pm at (0.000, 0.000, 0.000), B at (0.250, 0.250, 0.250) and Pt at (0.000, 0.000, 0.500).

The calculation puts the spin magnetization at 0.3 μB per cell.

***

x.
Crystalline PmBPt at its relaxed geometry. Source: OQMD, functional PBE.

The space group is F-43m (No. 216) and the conventional cell measures 6.298, 6.298 and 6.298 Å, with angles of 90.00, 90.00 and 90.00 degrees. The inequivalent atoms are Pm at (0.000, 0.000, 0.000), B at (0.000, 0.000, 0.500) and Pt at (0.250, 0.250, 0.750).

The calculation puts the spin magnetization at 1.6 μB per cell.

***

It is w that is the most stable of them.

***

w.
Crystalline PmReB at its relaxed geometry. Source: OQMD, functional PBE.

The space group is F-43m (No. 216) and the conventional cell measures 6.376, 6.376 and 6.376 Å, with angles of 90.00, 90.00 and 90.00 degrees. The inequivalent atoms are Pm at (0.000, 0.000, 0.000), Re at (0.250, 0.250, 0.250) and B at (0.250, 0.250, 0.750).

The calculation puts the spin magnetization at 4.6 μB per cell.

***

x.
Crystalline PmReB at its relaxed geometry. Source: OQMD, functional PBE.

The space group is F-43m (No. 216) and the conventional cell measures 5.948, 5.948 and 5.948 Å, with angles of 90.00, 90.00 and 90.00 degrees. The inequivalent atoms are Pm at (0.000, 0.000, 0.000), Re at (0.000, 0.000, 0.500) and B at (0.250, 0.250, 0.250).

The calculation puts the spin magnetization at 1.4 μB per cell.

***

It is x that is the most stable of them.

***

w.
Crystalline PmSiB4 at its relaxed geometry. Source: OQMD, functional PBE.

The space group is P6/mmm (No. 191) and the conventional cell measures 3.0886, 3.0886 and 7.6402 Å, with angles of 90.00, 90.00 and 120.00 degrees. The inequivalent atoms are Pm at (0.0000, 0.0000, 0.0000), Si at (0.0000, 0.0000, 0.5000) and B at (0.3333, 0.6667, 0.2884).

The calculation puts the spin magnetization at 0.0 μB per cell.

***

x.
Crystalline PmSiB4 at its relaxed geometry. Source: OQMD, functional PBE.

The space group is Immm (No. 71) and the conventional cell measures 3.201, 5.120 and 8.346 Å, with angles of 90.00, 90.00 and 90.00 degrees. The inequivalent atoms are Pm at (0.000, 0.000, 0.000), Si at (0.000, 0.000, 0.500) and B at (0.000, 0.324, 0.262).

The calculation puts the spin magnetization at 0.0 μB per cell.

***

It is x that is the most stable of them.

***

w.
Crystalline PmSnB4 at its relaxed geometry. Source: OQMD, functional PBE.

The space group is Immm (No. 71) and the conventional cell measures 3.243, 5.361 and 8.586 Å, with angles of 90.00, 90.00 and 90.00 degrees. The inequivalent atoms are Pm at (0.000, 0.000, 0.000), Sn at (0.000, 0.000, 0.500) and B at (0.000, 0.327, 0.259).

The calculation puts the spin magnetization at 0.0 μB per cell.

***

x.
Crystalline PmSnB4 at its relaxed geometry. Source: OQMD, functional PBE.

The space group is P6/mmm (No. 191) and the conventional cell measures 3.2351, 3.2351 and 8.2814 Å, with angles of 90.00, 90.00 and 120.00 degrees. The inequivalent atoms are Pm at (0.0000, 0.0000, 0.0000), Sn at (0.0000, 0.0000, 0.5000) and B at (0.3333, 0.6667, 0.2479).

The calculation puts the spin magnetization at 0.0 μB per cell.

***

It is w that is the most stable of them.

***

w.
Crystalline PmSnB at its relaxed geometry. Source: OQMD, functional PBE.

The space group is F-43m (No. 216) and the conventional cell measures 6.331, 6.331 and 6.331 Å, with angles of 90.00, 90.00 and 90.00 degrees. The inequivalent atoms are Pm at (0.000, 0.000, 0.000), Sn at (0.000, 0.000, 0.500) and B at (0.250, 0.250, 0.250).

The calculation puts the spin magnetization at 0.0 μB per cell.

***

x.
Crystalline PmSnB at its relaxed geometry. Source: OQMD, functional PBE.

The space group is F-43m (No. 216) and the conventional cell measures 6.695, 6.695 and 6.695 Å, with angles of 90.00, 90.00 and 90.00 degrees. The inequivalent atoms are Pm at (0.000, 0.000, 0.000), Sn at (0.250, 0.250, 0.750) and B at (0.000, 0.000, 0.500).

The calculation puts the spin magnetization at 0.1 μB per cell.

***

It is w that is the most stable of them.

***

w.
Crystalline PmThB4 at its relaxed geometry. Source: OQMD, functional PBE.

The space group is P6/mmm (No. 191) and the conventional cell measures 3.3301, 3.3301 and 8.2625 Å, with angles of 90.00, 90.00 and 120.00 degrees. The inequivalent atoms are Pm at (0.0000, 0.0000, 0.0000), Th at (0.0000, 0.0000, 0.5000) and B at (0.3333, 0.6667, 0.2468).

The calculation puts the spin magnetization at 0.0 μB per cell.

***

x.
Crystalline PmThB4 at its relaxed geometry. Source: OQMD, functional PBE.

The space group is Immm (No. 71) and the conventional cell measures 3.339, 5.772 and 8.250 Å, with angles of 90.00, 90.00 and 90.00 degrees. The inequivalent atoms are Pm at (0.000, 0.000, 0.000), Th at (0.000, 0.000, 0.500) and B at (0.000, 0.333, 0.250).

The calculation puts the spin magnetization at 0.0 μB per cell.

***

It is w that is the most stable of them.

***

w.
Crystalline PmTlB4 at its relaxed geometry. Source: OQMD, functional PBE.

The space group is P6/mmm (No. 191) and the conventional cell measures 3.2241, 3.2241 and 9.1972 Å, with angles of 90.00, 90.00 and 120.00 degrees. The inequivalent atoms are Pm at (0.0000, 0.0000, 0.0000), Tl at (0.0000, 0.0000, 0.5000) and B at (0.3333, 0.6667, 0.2206).

The calculation puts the spin magnetization at 0.0 μB per cell.

***

x.
Crystalline PmTlB4 at its relaxed geometry. Source: OQMD, functional PBE.

The space group is Immm (No. 71) and the conventional cell measures 3.255, 5.394 and 8.716 Å, with angles of 90.00, 90.00 and 90.00 degrees. The inequivalent atoms are Pm at (0.000, 0.000, 0.000), Tl at (0.000, 0.000, 0.500) and B at (0.000, 0.325, 0.260).

The calculation puts the spin magnetization at 0.0 μB per cell.

***

It is x that is the most stable of them.

***

w.
Crystalline PmTmB4 at its relaxed geometry. Source: OQMD, functional PBE.

The space group is P6/mmm (No. 191) and the conventional cell measures 3.2930, 3.2930 and 7.8615 Å, with angles of 90.00, 90.00 and 120.00 degrees. The inequivalent atoms are Pm at (0.0000, 0.0000, 0.0000), Tm at (0.0000, 0.0000, 0.5000) and B at (0.3333, 0.6667, 0.2634).

The calculation puts the spin magnetization at 0.0 μB per cell.

***

x.
Crystalline PmTmB4 at its relaxed geometry. Source: OQMD, functional PBE.

The space group is Immm (No. 71) and the conventional cell measures 3.301, 5.724 and 7.856 Å, with angles of 90.00, 90.00 and 90.00 degrees. The inequivalent atoms are Pm at (0.000, 0.000, 0.000), Tm at (0.000, 0.000, 0.500) and B at (0.000, 0.334, 0.248).

The calculation puts the spin magnetization at 0.0 μB per cell.

***

It is w that is the most stable of them.

***

w.
Crystalline PmZnB4 at its relaxed geometry. Source: OQMD, functional PBE.

The space group is Immm (No. 71) and the conventional cell measures 3.185, 5.310 and 8.208 Å, with angles of 90.00, 90.00 and 90.00 degrees. The inequivalent atoms are Pm at (0.000, 0.000, 0.000), Zn at (0.000, 0.000, 0.500) and B at (0.000, 0.324, 0.258).

The calculation puts the spin magnetization at 0.0 μB per cell.

***

x.
Crystalline PmZnB4 at its relaxed geometry. Source: OQMD, functional PBE.

The space group is P6/mmm (No. 191) and the conventional cell measures 3.1846, 3.1846 and 7.3806 Å, with angles of 90.00, 90.00 and 120.00 degrees. The inequivalent atoms are Pm at (0.0000, 0.0000, 0.0000), Zn at (0.0000, 0.0000, 0.5000) and B at (0.3333, 0.6667, 0.2799).

The calculation puts the spin magnetization at 0.0 μB per cell.

***

It is w that is the most stable of them.

***

w.
Crystalline PrB4Sb at its relaxed geometry. Source: OQMD, functional PBE.

The space group is P6/mmm (No. 191) and the conventional cell measures 3.2606, 3.2606 and 8.3384 Å, with angles of 90.00, 90.00 and 120.00 degrees. The inequivalent atoms are Pr at (0.0000, 0.0000, 0.0000), B at (0.3333, 0.6667, 0.2531) and Sb at (0.0000, 0.0000, 0.5000).

The calculation puts the spin magnetization at 0.0 μB per cell.

***

x.
Crystalline PrB4Sb at its relaxed geometry. Source: OQMD, functional PBE.

The space group is Immm (No. 71) and the conventional cell measures 3.240, 5.322 and 9.056 Å, with angles of 90.00, 90.00 and 90.00 degrees. The inequivalent atoms are Pr at (0.000, 0.000, 0.000), B at (0.000, 0.321, 0.263) and Sb at (0.000, 0.000, 0.500).

The calculation puts the spin magnetization at 0.0 μB per cell.

***

It is x that is the most stable of them.

***

w.
Crystalline PrBSb at its relaxed geometry. Source: OQMD, functional PBE.

The space group is F-43m (No. 216) and the conventional cell measures 6.511, 6.511 and 6.511 Å, with angles of 90.00, 90.00 and 90.00 degrees. The inequivalent atoms are Pr at (0.000, 0.000, 0.000), B at (0.250, 0.250, 0.250) and Sb at (0.000, 0.000, 0.500).

The calculation puts the spin magnetization at 0.0 μB per cell.

***

x.
Crystalline PrBSb at its relaxed geometry. Source: OQMD, functional PBE.

The space group is F-43m (No. 216) and the conventional cell measures 6.984, 6.984 and 6.984 Å, with angles of 90.00, 90.00 and 90.00 degrees. The inequivalent atoms are Pr at (0.000, 0.000, 0.000), B at (0.250, 0.250, 0.750) and Sb at (0.250, 0.250, 0.250).

The calculation puts the spin magnetization at 0.0 μB per cell.

***

It is w that is the most stable of them.

***

w.
Crystalline PrScB4 at its relaxed geometry. Source: OQMD, functional PBE.

The space group is P6/mmm (No. 191) and the conventional cell measures 3.2210, 3.2210 and 7.8200 Å, with angles of 90.00, 90.00 and 120.00 degrees. The inequivalent atoms are Pr at (0.0000, 0.0000, 0.0000), Sc at (0.0000, 0.0000, 0.5000) and B at (0.3333, 0.6667, 0.2798).

The calculation puts the spin magnetization at 0.0 μB per cell.

***

x.
Crystalline PrScB4 at its relaxed geometry. Source: OQMD, functional PBE.

The space group is Immm (No. 71) and the conventional cell measures 3.255, 5.656 and 7.846 Å, with angles of 90.00, 90.00 and 90.00 degrees. The inequivalent atoms are Pr at (0.000, 0.000, 0.000), Sc at (0.000, 0.000, 0.500) and B at (0.000, 0.335, 0.246).

The calculation puts the spin magnetization at 0.0 μB per cell.

***

It is w that is the most stable of them.